{
  "formula": "TbPmRh2",
  "functional": "PBE",
  "state": "optimized geometry",
  "formation_enthalpy_0k_kj_per_mol_atoms": -54.0,
  "dos_at_fermi_per_ev_atom": 0.09,
  "sg": "No. 166",
  "volume_a3_per_atom": 23.1,
  "total_magnetization_mub_per_cell": 0.00,
  "polymorph_energy_ev_per_fu": 0.81,
  "cell": [[4.032, 0.000, 0.000], [2.016, 3.492, 0.000], [2.016, 1.164, 6.571]],
  "species": ["Rh", "Rh", "Tb", "Pm"],
  "fractional_positions": [[0.753, 0.753, 0.741], [0.247, 0.247, 0.259], [0.500, 0.500, 0.500], [0.000, 0.000, 0.000]]
}